1.
Here is a relaxed Ac4SmTm crystal from Alexandria via LeMat-Bulk. Energies are from PBE-GGA. Values from VASP.

Quantum ESPRESSO input file:
```
&SYSTEM
  ibrav = 0, nat = 6, ntyp = 3
/
ATOMIC_SPECIES
Ac 227.00 Ac.upf
Sm 150.36 Sm.upf
Tm 168.93 Tm.upf
ATOMIC_POSITIONS crystal
Ac 0.376 0.376 0.376
Ac 0.376 0.376 0.873
Ac 0.376 0.873 0.376
Ac 0.873 0.376 0.376
Sm 0.000 0.000 0.000
Tm 0.750 0.750 0.750
CELL_PARAMETERS angstrom
0.000 5.047 5.047
5.047 0.000 5.047
5.047 5.047 0.000
```

Polymorph energy (0 for the lowest one): 0.2172 eV per atom
Energy relative to the elements: 2.3 eV/f.u.
Space-group type: No. 216
M_tot: 0.000 μB/atom

2.
Here is a relaxed Sr3Mg4Si4 crystal from Alexandria via LeMat-Bulk. Energies are from PBE-GGA. Values from VASP.

Quantum ESPRESSO input file:
```
&SYSTEM
  ibrav = 0, nat = 11, ntyp = 3
/
ATOMIC_SPECIES
Sr 87.62 Sr.upf
Mg 24.30 Mg.upf
Si 28.09 Si.upf
ATOMIC_POSITIONS crystal
Sr 0.000 0.000 0.000
Sr 0.381 0.881 0.500
Sr 0.619 0.119 0.500
Mg 0.030 0.329 0.702
Mg 0.373 0.671 0.702
Mg 0.627 0.329 0.298
Mg 0.970 0.671 0.298
Si 0.216 0.216 0.000
Si 0.330 0.500 0.830
Si 0.670 0.500 0.170
Si 0.784 0.784 0.000
CELL_PARAMETERS angstrom
-2.340 3.667 7.665
2.340 -3.667 7.665
2.340 3.667 -7.665
```

Space-group type: No. 71
ΔE_f (raw): -0.362 eV per atom
M_tot: 0.000 μB/atom

3.
Here is a relaxed ThSnMo crystal from Alexandria via LeMat-Bulk. Energies are from PBE-GGA. Values from VASP.

Quantum ESPRESSO input file:
```
&SYSTEM
  ibrav = 0, nat = 6, ntyp = 3
/
ATOMIC_SPECIES
Th 232.04 Th.upf
Sn 118.71 Sn.upf
Mo 95.94 Mo.upf
ATOMIC_POSITIONS crystal
Th 0.250 0.250 0.229
Th 0.750 0.750 0.771
Sn 0.250 0.250 0.570
Sn 0.750 0.750 0.430
Mo 0.250 0.750 0.000
Mo 0.750 0.250 0.000
CELL_PARAMETERS angstrom
3.763 0.000 0.000
0.000 3.763 0.000
0.000 0.000 10.940
```

Energy relative to the elements: 0.5 eV/f.u.
Space-group type: No. 129
M_tot: 0.000 μB/atom

4.
Here is a relaxed CeEr2Tl2 crystal from Alexandria via LeMat-Bulk. Energies are from PBE-GGA. Values from VASP.

Quantum ESPRESSO input file:
```
&SYSTEM
  ibrav = 0, nat = 10, ntyp = 3
/
ATOMIC_SPECIES
Ce 140.12 Ce.upf
Er 167.26 Er.upf
Tl 204.38 Tl.upf
ATOMIC_POSITIONS crystal
Ce 0.049 0.049 0.376
Ce 0.951 0.951 0.624
Er 0.258 0.258 0.753
Er 0.429 0.429 0.134
Er 0.571 0.571 0.866
Er 0.742 0.742 0.247
Tl 0.134 0.134 0.056
Tl 0.355 0.355 0.437
Tl 0.645 0.645 0.563
Tl 0.866 0.866 0.944
CELL_PARAMETERS angstrom
5.971 -2.588 0.000
5.971 2.588 0.000
-1.904 0.000 9.090
```

Polymorph energy (0 for the lowest one): 0.0000 eV per atom
Energy relative to the elements: -1.1 eV/f.u.
Space-group type: No. 12
M_tot: 0.175 μB/atom

5.
Here is a relaxed Y4ErTm crystal from Alexandria via LeMat-Bulk. Energies are from PBE-GGA. Values from VASP.

Quantum ESPRESSO input file:
```
&SYSTEM
  ibrav = 0, nat = 12, ntyp = 3
/
ATOMIC_SPECIES
Y 88.91 Y.upf
Er 167.26 Er.upf
Tm 168.93 Tm.upf
ATOMIC_POSITIONS crystal
Y 0.000 0.249 0.178
Y 0.000 0.250 0.844
Y 0.000 0.750 0.156
Y 0.000 0.751 0.822
Y 0.500 0.249 0.322
Y 0.500 0.250 0.656
Y 0.500 0.750 0.344
Y 0.500 0.751 0.678
Er 0.000 0.500 0.500
Er 0.500 0.500 0.000
Tm 0.000 0.000 0.500
Tm 0.500 0.000 0.000
CELL_PARAMETERS angstrom
5.605 0.000 0.000
0.000 6.989 0.000
0.000 0.000 9.666
```

Polymorph energy (0 for the lowest one): 0.0644 eV per atom
Energy relative to the elements: 0.4 eV/f.u.
Space-group type: No. 53
M_tot: 0.000 μB/atom

6.
Here is a relaxed Rb2HgF4 crystal from Alexandria via LeMat-Bulk. Energies are from PBE-GGA. Values from VASP.

Quantum ESPRESSO input file:
```
&SYSTEM
  ibrav = 0, nat = 28, ntyp = 3
/
ATOMIC_SPECIES
Rb 85.47 Rb.upf
Hg 200.59 Hg.upf
F 19.00 F.upf
ATOMIC_POSITIONS crystal
Rb 0.052 0.302 0.750
Rb 0.198 0.448 0.750
Rb 0.302 0.052 0.250
Rb 0.448 0.198 0.250
Rb 0.552 0.802 0.750
Rb 0.698 0.948 0.750
Rb 0.802 0.552 0.250
Rb 0.948 0.698 0.250
Hg 0.125 0.875 0.250
Hg 0.375 0.625 0.750
Hg 0.625 0.375 0.250
Hg 0.875 0.125 0.750
F 0.044 0.794 0.250
F 0.084 0.834 0.669
F 0.166 0.334 0.250
F 0.206 0.956 0.250
F 0.294 0.544 0.750
F 0.334 0.584 0.169
F 0.416 0.084 0.750
F 0.456 0.706 0.750
F 0.544 0.294 0.250
F 0.584 0.916 0.250
F 0.666 0.416 0.831
F 0.706 0.456 0.250
F 0.794 0.044 0.750
F 0.834 0.666 0.750
F 0.916 0.166 0.331
F 0.956 0.206 0.750
CELL_PARAMETERS angstrom
-3.258 3.258 14.297
3.258 -3.258 14.297
3.258 3.258 -14.297
```

Polymorph energy (0 for the lowest one): 0.0000 eV per atom
Space-group type: No. 142
ΔE_f (raw): -2.192 eV per atom
M_tot: 0.000 μB/atom